No. 1
Here is Na4Ac3CeSe8 after structural relaxation from the Alexandria database. Energies are from PBE-GGA.

Calculated values
The symmetry is R-3m. The theoretical density comes out at 5.3 Mg/m³. The magnetization is 1.002 Bohr magnetons per cell. The uncorrected formation energy is -1695 meV per atom.

a = 8.6974 Å, b = 8.6974 Å, c = 8.6974 Å
α = 61.85°, β = 61.85°, γ = 61.85°
Closest atoms and distances in Å follow each position.
Fractional coordinates of all 16 atoms:
Na (0.0000, 0.0000, 0.0000)  6 Se 3.21
Na (0.0000, 0.5000, 0.5000)  6 Se 3.13
Na (0.5000, 0.0000, 0.5000)  6 Se 3.13
Na (0.5000, 0.5000, 0.0000)  6 Se 3.13
Ac (0.0000, 0.0000, 0.5000)  6 Se 3.10-3.11
Ac (0.0000, 0.5000, 0.0000)  6 Se 3.10-3.11
Ac (0.5000, 0.0000, 0.0000)  6 Se 3.10-3.11
Ce (0.5000, 0.5000, 0.5000)  6 Se 3.02
Se (0.2488, 0.2488, 0.2488)  3 Ac 3.10, 3 Na 3.13
Se (0.2561, 0.7422, 0.7422)  1 Ce 3.02, 2 Ac 3.11, 3 Na 3.13-3.21
Se (0.2578, 0.2578, 0.7439)  1 Ce 3.02, 2 Ac 3.11, 3 Na 3.13-3.21
Se (0.2578, 0.7439, 0.2578)  1 Ce 3.02, 2 Ac 3.11, 3 Na 3.13-3.21
Se (0.7422, 0.2561, 0.7422)  1 Ce 3.02, 2 Ac 3.11, 3 Na 3.13-3.21
Se (0.7422, 0.7422, 0.2561)  1 Ce 3.02, 2 Ac 3.11, 3 Na 3.13-3.21
Se (0.7439, 0.2578, 0.2578)  1 Ce 3.02, 2 Ac 3.11, 3 Na 3.13-3.21
Se (0.7512, 0.7512, 0.7512)  3 Ac 3.10, 3 Na 3.13

No. 2
Here is Li2EuTm after structural relaxation from the Alexandria database. Energies are from PBE-GGA.

Calculated values
For the energy above the most stable polymorph in this dataset, the calculation gives 175.8 meV/atom. The symmetry is R-3m. The value obtained for the formation energy from the elements is 7.2 kcal/mol of atoms. The theoretical density comes out at 4.6 Mg/m³. The magnetization is 23.689 Bohr magnetons per cell.

a = 3.3871 Å, b = 3.3871 Å, c = 36.4243 Å
α = 90.00°, β = 90.00°, γ = 120.00°
Closest atoms and distances in Å follow each position.
Fractional coordinates of all 12 atoms:
Li (0.0000, 0.0000, 0.0852)  1 Tm 3.10, 6 Li 3.39
Li (0.0000, 0.0000, 0.9148)  1 Tm 3.10, 6 Li 3.39
Li (0.3333, 0.6667, 0.5815)  1 Tm 3.10, 6 Li 3.39
Li (0.3333, 0.6667, 0.7518)  1 Tm 3.10, 6 Li 3.39
Li (0.6667, 0.3333, 0.2482)  1 Tm 3.10, 6 Li 3.39
Li (0.6667, 0.3333, 0.4185)  1 Tm 3.10, 6 Li 3.39
Eu (0.0000, 0.0000, 0.5000)  6 Eu 3.39, 6 Li 3.55
Eu (0.3333, 0.6667, 0.1667)  6 Eu 3.39, 6 Li 3.55
Eu (0.6667, 0.3333, 0.8333)  6 Eu 3.39, 6 Li 3.55
Tm (0.0000, 0.0000, 0.0000)  2 Li 3.10, 6 Tm 3.39
Tm (0.3333, 0.6667, 0.6667)  2 Li 3.10, 6 Tm 3.39
Tm (0.6667, 0.3333, 0.3333)  2 Li 3.10, 6 Tm 3.39